# 1
Compound: MgTiS3
Source: Alexandria via LeMat-Bulk
Functional: PBE
Structure: optimized geometry

Values from the calculation:
Energy above the most stable polymorph in this dataset   0.0000 eV/atom
DOS(E_F)   0.16 states/eV/atom
Crystal system   hexagonal

a = 6.2479 Å, b = 6.2479 Å, c = 6.0418 Å
α = 90.00°, β = 90.00°, γ = 120.00°
Space group P-6c2 (No. 188)
Symmetry-distinct sites (fractional):
Mg1 0.0000 0.0000 0.0000 [2 per cell]
Ti1 0.6667 0.3333 0.0000 [2 per cell]
S1 0.3515 0.0322 0.2500 [6 per cell]

# 2
Compound: MgTi2S5
Source: Alexandria via LeMat-Bulk
Functional: PBE
Structure: optimized geometry

Values from the calculation:
Crystal system   orthorhombic

a = 3.878 Å, b = 14.919 Å, c = 6.107 Å
α = 90.00°, β = 90.00°, γ = 90.00°
Space group Pmmn (No. 59, origin choice 2)
Symmetry-distinct sites (fractional):
Mg1 0.250 0.250 0.049 [2 per cell]
Ti1 0.250 0.601 0.459 [4 per cell]
S1 0.250 0.062 0.344 [4 per cell]
S2 0.250 0.645 0.114 [4 per cell]
S3 0.250 0.750 0.621 [2 per cell]

# 3
Compound: Mg2Ti2S
Source: Alexandria via LeMat-Bulk
Functional: PBE
Structure: optimized geometry

Values from the calculation:
Energy above the most stable polymorph in this dataset   0.0000 eV/atom
DOS(E_F)   0.76 states/eV/atom
Crystal system   tetragonal

a = 6.254 Å, b = 6.254 Å, c = 4.898 Å
α = 90.00°, β = 90.00°, γ = 90.00°
Space group P4/mbm (No. 127)
Symmetry-distinct sites (fractional):
Mg1 0.156 0.344 0.000 [4 per cell]
Ti1 0.158 0.658 0.500 [4 per cell]
S1 0.000 0.000 0.500 [2 per cell]

# 4
Compound: MgTi8S16
Source: Alexandria via LeMat-Bulk
Functional: PBE
Structure: optimized geometry

Values from the calculation:
DOS(E_F)   0.36 states/eV/atom
Crystal system   orthorhombic

a = 9.899 Å, b = 14.006 Å, c = 7.015 Å
α = 90.00°, β = 90.00°, γ = 90.00°
Space group Pnnm (No. 58)
Symmetry-distinct sites (fractional):
Mg1 0.000 0.000 0.000 [2 per cell]
Ti1 0.000 0.000 0.500 [2 per cell]
Ti2 0.000 0.500 0.500 [2 per cell]
Ti3 0.006 0.257 0.500 [4 per cell]
Ti4 0.245 0.372 0.242 [8 per cell]
S1 0.002 0.376 0.256 [8 per cell]
S2 0.004 0.874 0.257 [8 per cell]
S3 0.246 0.254 0.500 [4 per cell]
S4 0.246 0.496 0.500 [4 per cell]
S5 0.246 0.752 0.500 [4 per cell]
S6 0.247 0.996 0.500 [4 per cell]

# 5
Compound: MgTi3S
Source: Alexandria via LeMat-Bulk
Functional: PBE
Structure: optimized geometry

Values from the calculation:
Energy above the most stable polymorph in this dataset   0.0000 eV/atom
DOS(E_F)   0.61 states/eV/atom
Crystal system   cubic

a = 4.543 Å, b = 4.543 Å, c = 4.543 Å
α = 90.00°, β = 90.00°, γ = 90.00°
Space group Pm-3m (No. 221)
Symmetry-distinct sites (fractional):
Mg1 0.000 0.000 0.000 [1 per cell]
Ti1 0.000 0.500 0.500 [3 per cell]
S1 0.500 0.500 0.500 [1 per cell]

# 6
Compound: MgTi2S
Source: Alexandria via LeMat-Bulk
Functional: PBE
Structure: optimized geometry

Values from the calculation:
Energy above the most stable polymorph in this dataset   0.6681 eV/atom
DOS(E_F)   0.85 states/eV/atom
Crystal system   tetragonal

a = 3.998 Å, b = 3.998 Å, c = 18.495 Å
α = 90.00°, β = 90.00°, γ = 90.00°
Space group I-42d (No. 122)
Symmetry-distinct sites (fractional):
Mg1 0.000 0.000 0.000 [4 per cell]
Ti1 0.133 0.250 0.625 [8 per cell]
S1 0.000 0.000 0.500 [4 per cell]

Across the entries above, energy relative to the elements, uncorrected takes the values -1200, -1110, -385, -1306, -361, 72 meV/atom, respectively.
Across the entries above, mass density takes the values 2.74, 2.64, 3.06, 3.14, 3.54, 3.42 g cm⁻³, respectively.